Record 1
## La5Pb (PBE)

Data for a relaxed structure of La5Pb. Values from VASP.

The structure in Quantum ESPRESSO input format:
```
&SYSTEM
  ibrav = 0, nat = 6, ntyp = 2
/
ATOMIC_SPECIES
La 138.91 La.upf
Pb 207.20 Pb.upf
CELL_PARAMETERS angstrom
5.8403 -2.4725 0.0000
5.8403 2.4725 0.0000
-2.4057 0.0000 7.0601
ATOMIC_POSITIONS angstrom
La 0.0000 0.0000 0.0000
La 2.2142 0.0000 4.5905
La 3.5931 0.0000 1.2047
La 5.6818 0.0000 5.8554
La 7.0607 0.0000 2.4696
Pb -1.2028 0.0000 3.5300
```

Properties
ΔE to the lowest computed polymorph ... 13.1 meV per atom
SG ... C2/m
Formation energy ... -122 kJ/mol of formula units
Crystal system ... monoclinic

Record 2
## RbPa2AgTe5 (PBE)

Data for a relaxed structure of RbPa2AgTe5. Values from VASP.

The structure in Quantum ESPRESSO input format:
```
&SYSTEM
  ibrav = 0, nat = 18, ntyp = 4
/
ATOMIC_SPECIES
Rb 85.47 Rb.upf
Pa 231.04 Pa.upf
Ag 107.87 Ag.upf
Te 127.60 Te.upf
CELL_PARAMETERS angstrom
-4.2211 4.2211 8.3886
4.2211 -4.2211 8.3886
4.2211 4.2211 -8.3886
ATOMIC_POSITIONS angstrom
Rb 0.0000 0.0000 4.1943
Rb 0.0000 0.0000 12.5829
Pa 5.4975 1.2764 0.0000
Pa 1.2764 2.9446 0.0000
Pa 2.9446 1.2764 8.3886
Pa -1.2764 2.9446 8.3886
Ag 4.2211 0.0000 4.1943
Ag 0.0000 4.2211 4.1943
Te 0.0000 0.0000 0.0000
Te 2.9630 1.2580 -2.0011
Te 2.9630 -1.2580 6.3875
Te 2.9630 1.2580 2.0011
Te 2.9630 -1.2580 10.3897
Te 0.0000 0.0000 8.3886
Te 1.2580 5.4791 -2.0011
Te 1.2580 2.9630 6.3875
Te 1.2580 5.4791 2.0011
Te 1.2580 2.9630 10.3897
```

Properties
Formation energy without anion corrections ... -775 meV/atom
SG ... I4/mcm
Crystal system ... tetragonal